(1)
DFT (PBE+U) results for ZnFe2SbO6 after structural relaxation.

Space group: R3, No. 146

```
10
Lattice="5.2253 0.0011 -0.0001 2.6138 4.5270 0.0003 2.6113 1.5099 4.7002" Properties=species:S:1:pos:R:3 pbc="T T T"
O 5.9429 4.3644 3.5215
O 6.0316 1.7249 3.5215
O 4.3786 1.4336 1.1334
O 7.0198 3.0777 1.1313
O 4.2778 4.5437 1.1314
O 3.7008 2.9682 3.5205
Fe 2.6120 1.5103 4.5252
Fe 5.2253 3.0189 2.0190
Sb 2.6127 1.5094 0.1956
Zn 7.8374 4.5298 2.8737
```


(2)
DFT (PBE+U) results for ZrFe2SbO6 after structural relaxation.

Space group: P1, No. 1

```
10
Lattice="-0.5759 2.9572 4.5009 -3.4000 -1.6841 3.9417 2.2839 -2.0518 4.9104" Properties=species:S:1:pos:R:3 pbc="T T T"
O -2.7100 -1.4502 5.7781
O 0.1670 -1.9106 5.8870
O -0.4805 0.9073 4.8304
O -0.9239 -1.4886 8.4634
O -1.9860 1.1465 7.7957
O 1.0030 0.3869 7.3687
Sb -1.1301 0.2665 2.9391
Fe -1.1011 -0.1962 6.5213
Fe 2.0503 -1.8823 4.7659
Zr -1.9683 -0.1346 9.6329
```


(3)
DFT (PBE+U) results for ScFe2O4 after structural relaxation.

Space group: C2/m, No. 12

```
7
Lattice="-1.1254 2.6799 1.1927 -1.3004 1.5731 -4.7617 -3.1923 -4.3117 2.5381" Properties=species:S:1:pos:R:3 pbc="T T T"
O -1.9150 1.0021 0.0793
O -3.5249 -0.5725 2.0984
O -3.7031 -1.0609 -1.1102
O -2.0932 0.5137 -3.1293
Fe -2.5391 -1.2829 0.4868
Fe -3.0790 1.2241 -1.5178
Sc 0.0000 0.0000 0.0000
```


(4)
DFT (PBE+U) results for Sc2FeO2 after structural relaxation.

Offset from the most stable computed form, eV per atom: 0.000
Space group: I4/mmm, No. 139

```
5
Lattice="4.3722 0.0000 0.0000 0.0000 4.3722 0.0000 2.1861 2.1861 4.1532" Properties=species:S:1:pos:R:3 pbc="T T T"
Sc 4.3722 2.1861 2.0766
Sc 2.1861 4.3722 2.0766
Fe 0.0000 0.0000 0.0000
O 2.1861 2.1861 2.2340
O 4.3722 4.3722 1.9192
```


(5)
DFT (PBE+U) results for Sc2FeO2 after structural relaxation.

Offset from the most stable computed form, eV per atom: 0.128
Space group: P4/mbm, No. 127

```
10
Lattice="6.3204 0.0000 0.0000 0.0000 6.3204 0.0000 0.0000 0.0000 2.9246" Properties=species:S:1:pos:R:3 pbc="T T T"
Sc 2.1365 1.0237 1.4623
Sc 4.1839 5.2967 1.4623
Sc 1.0237 4.1839 1.4623
Sc 5.2967 2.1365 1.4623
O 0.9048 2.2554 0.0000
O 2.2554 5.4156 0.0000
O 4.0650 0.9048 0.0000
O 5.4156 4.0650 0.0000
Fe 0.0000 0.0000 0.0000
Fe 3.1602 3.1602 0.0000
```


(6)
DFT (PBE+U) results for Sc2FeO4 after structural relaxation.

Space group: I4_1/amd, No. 141

```
14
Lattice="-4.3619 4.2686 -1.5499 -4.5849 -3.6599 2.2876 -4.0186 2.2043 4.3207" Properties=species:S:1:pos:R:3 pbc="T T T"
Fe -9.6962 3.1004 3.3143
Fe -3.2692 -0.2874 1.7441
O -6.6656 -0.5310 3.3924
O -8.6085 1.4452 2.6662
O -4.2865 2.3837 -0.5630
O -6.2998 3.3440 1.6660
O -4.3569 1.3678 2.3922
O -6.8250 0.4285 0.6691
O -6.1404 2.3845 4.3892
O -8.6789 0.4293 5.6214
Sc 0.0000 0.0000 0.0000
Sc -4.1902 3.2364 1.3854
Sc -6.4827 1.4065 2.5292
Sc -2.1810 2.1343 -0.7750
```


Number 1: calculated total energy -5.903 eV per atom, size of the total moment 5.081 μB per cell. Number 2: calculated total energy -7.237 eV per atom, size of the total moment 7.407 μB per cell. Number 3: calculated total energy -7.409 eV per atom, size of the total moment 9.000 μB per cell. Number 4: calculated total energy -7.379 eV per atom, size of the total moment 2.538 μB per cell. Number 5: calculated total energy -7.251 eV per atom, size of the total moment 5.081 μB per cell. Number 6: calculated total energy -8.351 eV per atom, size of the total moment 8.000 μB per cell.